1.
# SiSnW

A relaxed structure of SiSnW (PBE, the Alexandria database).

Unit cell a=18.655 b=3.017 c=4.242 alpha=90.00 beta=98.86 gamma=90.00
Space group C2/m (No. 12)
One atom of each set of equivalent atoms:
Si  0.198  0.000  0.368 [4 per cell]
Sn  0.053  0.000  0.786 [4 per cell]
W  0.185  0.500  0.850 [4 per cell]

Properties
E_form (uncorrected) ... 136.0 meV per atom
Energy relative to the lowest polymorph listed for this composition ... 0.070 eV/atom


2.
# YHo2Cd2

A relaxed structure of YHo2Cd2 (PBE, the Alexandria database).

Unit cell a=5.1709 b=5.1709 c=6.3554 alpha=90.00 beta=90.00 gamma=120.00
Space group P-3m1 (No. 164)
One atom of each set of equivalent atoms:
Y  0.0000  0.0000  0.0000 [1 per cell]
Ho  0.3333  0.6667  0.6506 [2 per cell]
Cd  0.3333  0.6667  0.1567 [2 per cell]

Properties
ΔE_f ... -75.0 meV/atom
Energy relative to the lowest polymorph listed for this composition ... 0.195 eV/atom


3.
# Ce2NdPu3As6

A relaxed structure of Ce2NdPu3As6 (PBE, the Alexandria database).

Unit cell a=18.243 b=4.195 c=8.355 alpha=90.00 beta=103.02 gamma=90.00
Space group C2/m (No. 12)
One atom of each set of equivalent atoms:
Ce  0.167  0.000  0.332 [4 per cell]
Nd  0.000  0.500  0.000 [2 per cell]
Pu  0.000  0.500  0.500 [2 per cell]
Pu  0.167  0.000  0.833 [4 per cell]
As  0.000  0.000  0.258 [4 per cell]
As  0.166  0.500  0.585 [4 per cell]
As  0.169  0.500  0.081 [4 per cell]

Properties
ΔE_f ... -1223.6 meV/atom


4.
# Tm4AgAu2

A relaxed structure of Tm4AgAu2 (PBE, the Alexandria database).

Unit cell a=4.7613 b=4.7613 c=28.4042 alpha=90.00 beta=90.00 gamma=120.00
Space group R-3m (No. 166, hexagonal axes)
One atom of each set of equivalent atoms:
Tm  0.0000  0.0000  0.1169 [6 per cell]
Tm  0.0000  0.0000  0.2973 [6 per cell]
Ag  0.0000  0.0000  0.5000 [3 per cell]
Au  0.0000  0.0000  0.4007 [6 per cell]

Properties
ΔE_f ... -436.1 meV/atom
Energy relative to the lowest polymorph listed for this composition ... 0.121 eV/atom


5.
# Pm2Er3In7

A relaxed structure of Pm2Er3In7 (PBE, the Alexandria database).

Unit cell a=5.171 b=25.657 c=5.313 alpha=90.00 beta=90.00 gamma=90.00
Space group Cmmm (No. 65)
One atom of each set of equivalent atoms:
Pm  0.000  0.147  0.000 [4 per cell]
Er  0.000  0.351  0.500 [4 per cell]
Er  0.000  0.500  0.500 [2 per cell]
In  0.000  0.000  0.000 [2 per cell]
In  0.000  0.075  0.500 [4 per cell]
In  0.000  0.278  0.000 [4 per cell]
In  0.000  0.429  0.000 [4 per cell]

Properties
ΔE_f ... -199.1 meV/atom


6.
# Sc2PaPd6

A relaxed structure of Sc2PaPd6 (PBE, the Alexandria database).

Unit cell a=7.7271 b=7.7271 c=3.1560 alpha=90.00 beta=90.00 gamma=120.00
Space group P-62m (No. 189)
One atom of each set of equivalent atoms:
Sc  0.3333  0.6667  0.0000 [2 per cell]
Pa  0.0000  0.0000  0.5000 [1 per cell]
Pd  0.0000  0.3046  0.0000 [3 per cell]
Pd  0.0000  0.6328  0.5000 [3 per cell]

Properties
ΔE_f ... -609.2 meV/atom


7.
# Mn7CrGe4

A relaxed structure of Mn7CrGe4 (PBE, the Alexandria database).

Unit cell a=11.132 b=4.342 c=8.919 alpha=90.00 beta=126.51 gamma=90.00
Space group C2/m (No. 12)
One atom of each set of equivalent atoms:
Mn  0.000  0.000  0.000 [2 per cell]
Mn  0.077  0.500  0.338 [4 per cell]
Mn  0.149  0.000  0.573 [4 per cell]
Mn  0.218  0.500  0.880 [4 per cell]
Cr  0.000  0.500  0.000 [2 per cell]
Ge  0.078  0.000  0.784 [4 per cell]
Ge  0.212  0.000  0.331 [4 per cell]

Properties
ΔE_f ... 255.0 meV/atom


8.
# In2SiBr2

A relaxed structure of In2SiBr2 (PBE, the Alexandria database).

Unit cell a=4.082 b=4.082 c=17.817 alpha=90.00 beta=90.00 gamma=90.00
Space group I4/mmm (No. 139)
One atom of each set of equivalent atoms:
In  0.000  0.500  0.250 [4 per cell]
Si  0.000  0.000  0.000 [2 per cell]
Br  0.000  0.000  0.408 [4 per cell]

Properties
E_form (uncorrected) ... 285.6 meV per atom


9.
# AcNdGe2Pd2

A relaxed structure of AcNdGe2Pd2 (PBE, the Alexandria database).

Unit cell a=4.3847 b=4.3847 c=8.5080 alpha=90.00 beta=90.00 gamma=120.00
Space group P-3m1 (No. 164)
One atom of each set of equivalent atoms:
Ac  0.0000  0.0000  0.0000 [1 per cell]
Nd  0.0000  0.0000  0.5000 [1 per cell]
Ge  0.3333  0.6667  0.2652 [2 per cell]
Pd  0.3333  0.6667  0.7357 [2 per cell]

Properties
ΔE_f ... -894.1 meV/atom


10.
# HfZrFeMo

A relaxed structure of HfZrFeMo (PBE, the Alexandria database).

Unit cell a=6.517 b=6.517 c=6.517 alpha=90.00 beta=90.00 gamma=90.00
Space group F-43m (No. 216)
One atom of each set of equivalent atoms:
Hf  0.000  0.000  0.000 [4 per cell]
Zr  0.000  0.000  0.500 [4 per cell]
Fe  0.250  0.250  0.750 [4 per cell]
Mo  0.250  0.250  0.250 [4 per cell]

Properties
ΔE_f ... -60.8 meV/atom


11.
# Na2DyInCl6

A relaxed structure of Na2DyInCl6 (PBE, the Alexandria database).

Unit cell a=7.2153 b=7.2153 c=19.7344 alpha=90.00 beta=90.00 gamma=120.00
Space group R3 (No. 146, hexagonal axes)
One atom of each set of equivalent atoms:
Na  0.0000  0.0000  0.0000 [3 per cell]
Na  0.0000  0.0000  0.4853 [3 per cell]
Dy  0.0000  0.0000  0.6816 [3 per cell]
In  0.0000  0.0000  0.2004 [3 per cell]
Cl  0.0076  0.3203  0.7498 [9 per cell]
Cl  0.0304  0.6236  0.2611 [9 per cell]

Properties
E_form (uncorrected) ... -1806.6 meV per atom


12.
# Pa5Bi4

A relaxed structure of Pa5Bi4 (PBE, the Alexandria database).

Unit cell a=10.722 b=10.722 c=4.247 alpha=90.00 beta=90.00 gamma=90.00
Space group I4/mmm (No. 139)
One atom of each set of equivalent atoms:
Pa  0.000  0.000  0.000 [2 per cell]
Pa  0.000  0.348  0.000 [8 per cell]
Bi  0.164  0.164  0.500 [8 per cell]

Properties
ΔE_f ... -42.8 meV/atom


13.
# InCo2Tc

A relaxed structure of InCo2Tc (PBE, the Alexandria database).

Unit cell a=2.763 b=2.763 c=7.221 alpha=90.00 beta=90.00 gamma=90.00
Space group P4/mmm (No. 123)
One atom of each set of equivalent atoms:
In  0.000  0.000  0.000 [1 per cell]
Co  0.500  0.500  0.271 [2 per cell]
Tc  0.000  0.000  0.500 [1 per cell]

Properties
ΔE_f ... 146.4 meV/atom
Energy relative to the lowest polymorph listed for this composition ... 0.000 eV/atom


14.
# K2Hf2Sn

A relaxed structure of K2Hf2Sn (PBE, the Alexandria database).

Unit cell a=7.328 b=7.328 c=6.491 alpha=90.00 beta=90.00 gamma=90.00
Space group P4/mbm (No. 127)
One atom of each set of equivalent atoms:
K  0.188  0.312  0.000 [4 per cell]
Hf  0.135  0.635  0.500 [4 per cell]
Sn  0.000  0.000  0.500 [2 per cell]

Properties
ΔE_f ... 637.2 meV/atom
Energy relative to the lowest polymorph listed for this composition ... 0.000 eV/atom


15.
# BeInAu5

A relaxed structure of BeInAu5 (PBE, the Alexandria database).

Unit cell a=4.186 b=4.186 c=7.108 alpha=90.00 beta=90.00 gamma=90.00
Space group P4/mmm (No. 123)
One atom of each set of equivalent atoms:
Be  0.000  0.000  0.000 [1 per cell]
In  0.500  0.500  0.500 [1 per cell]
Au  0.000  0.000  0.500 [1 per cell]
Au  0.000  0.500  0.196 [4 per cell]

Properties
ΔE_f ... -111.8 meV/atom


16.
# AcHIBr

A relaxed structure of AcHIBr (PBE, the Alexandria database).

Unit cell a=7.544 b=4.356 c=8.344 alpha=90.00 beta=107.64 gamma=90.00
Space group Cm (No. 8)
One atom of each set of equivalent atoms:
Ac  0.000  0.000  0.000 [2 per cell]
H  0.335  0.000  0.003 [2 per cell]
I  0.262  0.500  0.284 [2 per cell]
Br  0.084  0.500  0.755 [2 per cell]

Properties
Total energy ... -4.135 eV/atom


17.
# LiTa2Sb

A relaxed structure of LiTa2Sb (PBE, the Alexandria database).

Unit cell a=4.132 b=4.132 c=8.440 alpha=90.00 beta=90.00 gamma=90.00
Space group I-4m2 (No. 119)
One atom of each set of equivalent atoms:
Li  0.000  0.000  0.000 [2 per cell]
Ta  0.000  0.000  0.500 [2 per cell]
Ta  0.000  0.500  0.250 [2 per cell]
Sb  0.000  0.500  0.750 [2 per cell]

Properties
E_form (uncorrected) ... 190.3 meV per atom


18.
# Al5ZnFe10

A relaxed structure of Al5ZnFe10 (PBE, the Alexandria database).

Unit cell a=9.278 b=9.278 c=4.643 alpha=90.00 beta=90.00 gamma=90.00
Space group I422 (No. 97)
One atom of each set of equivalent atoms:
Al  0.000  0.000  0.000 [2 per cell]
Al  0.173  0.327  0.250 [8 per cell]
Zn  0.000  0.000  0.500 [2 per cell]
Fe  0.000  0.500  0.000 [4 per cell]
Fe  0.070  0.237  0.750 [16 per cell]

Properties
ΔE_f ... -134.5 meV/atom


19.
# Pm3Pu2Rh4

A relaxed structure of Pm3Pu2Rh4 (PBE, the Alexandria database).

Unit cell a=11.124 b=4.235 c=9.143 alpha=90.00 beta=99.35 gamma=90.00
Space group C2/m (No. 12)
One atom of each set of equivalent atoms:
Pm  0.000  0.000  0.000 [2 per cell]
Pm  0.123  0.500  0.388 [4 per cell]
Pu  0.178  0.500  0.789 [4 per cell]
Rh  0.090  0.000  0.626 [4 per cell]
Rh  0.197  0.500  0.092 [4 per cell]

Properties
ΔE_f ... -556.9 meV/atom


20.
# CrHPd2Au

A relaxed structure of CrHPd2Au (PBE, the Alexandria database).

Unit cell a=4.003 b=4.003 c=4.100 alpha=90.00 beta=90.00 gamma=90.00
Space group P4/mmm (No. 123)
One atom of each set of equivalent atoms:
Cr  0.000  0.000  0.000 [1 per cell]
H  0.000  0.000  0.500 [1 per cell]
Pd  0.000  0.500  0.500 [2 per cell]
Au  0.500  0.500  0.000 [1 per cell]

Properties
Energy relative to the lowest polymorph listed for this composition ... 0.000 eV/atom


21.
# Ge2Bi2Te5

A relaxed structure of Ge2Bi2Te5 (PBE, the Alexandria database).

Unit cell a=4.3162 b=4.3162 c=55.1231 alpha=90.00 beta=90.00 gamma=120.00
Space group R3m (No. 160, hexagonal axes)
One atom of each set of equivalent atoms:
Ge  0.0000  0.0000  0.0000 [3 per cell]
Ge  0.0000  0.0000  0.3989 [3 per cell]
Bi  0.0000  0.0000  0.2152 [3 per cell]
Bi  0.0000  0.0000  0.8053 [3 per cell]
Te  0.0000  0.0000  0.1054 [3 per cell]
Te  0.0000  0.0000  0.3083 [3 per cell]
Te  0.0000  0.0000  0.5093 [3 per cell]
Te  0.0000  0.0000  0.7068 [3 per cell]
Te  0.0000  0.0000  0.9141 [3 per cell]

Properties
E_form (uncorrected) ... -153.4 meV per atom


22.
# ZrHO

A relaxed structure of ZrHO (PBE, the Alexandria database).

Unit cell a=3.5118 b=3.5118 c=3.3948 alpha=90.00 beta=90.00 gamma=120.00
Space group P3m1 (No. 156)
One atom of each set of equivalent atoms:
Zr  0.0000  0.0000  0.0000 [1 per cell]
H  0.6667  0.3333  0.2602 [1 per cell]
O  0.3333  0.6667  0.8390 [1 per cell]

Properties
Energy relative to the lowest polymorph listed for this composition ... 0.239 eV/atom


23.
# TcAsBr2

A relaxed structure of TcAsBr2 (PBE, the Alexandria database).

Unit cell a=5.021 b=3.803 c=5.839 alpha=90.00 beta=115.21 gamma=90.00
Space group Pm (No. 6)
One atom of each set of equivalent atoms:
Tc  0.000  0.000  0.000 [1 per cell]
As  0.125  0.500  0.254 [1 per cell]
Br  0.447  0.000  0.893 [1 per cell]
Br  0.811  0.500  0.619 [1 per cell]

Properties
E_form (uncorrected) ... 5.8 meV per atom
Energy relative to the lowest polymorph listed for this composition ... 0.037 eV/atom


24.
# Mn2NiOs

A relaxed structure of Mn2NiOs (PBE, the Alexandria database).

Unit cell a=5.832 b=5.832 c=5.832 alpha=90.00 beta=90.00 gamma=90.00
Space group F-43m (No. 216)
One atom of each set of equivalent atoms:
Mn  0.000  0.000  0.000 [4 per cell]
Mn  0.250  0.250  0.250 [4 per cell]
Ni  0.000  0.000  0.500 [4 per cell]
Os  0.250  0.250  0.750 [4 per cell]

Properties
ΔE_f ... 193.7 meV/atom


25.
# YCd2Au

A relaxed structure of YCd2Au (PBE, the Alexandria database).

Unit cell a=3.550 b=3.550 c=7.199 alpha=90.00 beta=90.00 gamma=90.00
Space group P4/mmm (No. 123)
One atom of each set of equivalent atoms:
Y  0.000  0.000  0.000 [1 per cell]
Cd  0.500  0.500  0.283 [2 per cell]
Au  0.000  0.000  0.500 [1 per cell]

Properties
ΔE_f ... -287.0 meV/atom